This record from Alexandria via LeMat-Bulk describes crystalline LaBW2O at its relaxed geometry. The functional is PBE with a Hubbard U.

a b c (Å): 4.202 4.202 5.898
angles (deg): 90.00 90.00 90.00
Fractional coordinates of all 5 atoms:
La 0.000 0.000 0.000
B 0.000 0.000 0.500
W 0.000 0.500 0.500
W 0.500 0.000 0.500
O 0.500 0.500 0.000

## Properties
total moment = 5.78 Bohr magnetons per cell
N(E_F) = 1.979 states/eV/cell
VASP energy = -5.59 eV/atom
crystal system = tetragonal
calculated volume = 104.1 Å³ per cell